AcMoPbO6 after structural relaxation. Source: Alexandria, functional GGA+U.

Cell: 5.6740 5.6740 5.2237 Å, 90.00 90.00 60.00°
Each line ends with the local moment (μB).
Element x y z (fractional)
O: 0.6142 0.0439 0.2846  0.04
O: 0.3419 0.0439 0.7154  0.04
O: 0.0438 0.6142 0.7153  0.04
O: 0.6140 0.3420 0.7154  0.04
O: 0.3420 0.6141 0.2846  0.04
Pb: 0.6666 0.6667 0.5000  0.15
Mo: 0.3333 0.3334 0.5000  0.37
O: 0.0439 0.3420 0.2846  0.04
Ac: 0.0000 0.0000 0.0000  0.00

## Properties
The calculation puts the total energy at -0.2522 hartree per atom.